No. 1
Here is an optimized crystal structure of Ac6AgRu2 from Alexandria. Energies are from PBE.

The formation energy comes out at 0.069 eV per atom. As for the total energy: -45.431 eV/f.u. Its space group is No. 12. The calculation puts the total moment at 0.00 μB/f.u. As for the energy above the most stable polymorph in this dataset: 232 meV per atom.

a = 5.6416 Å, b = 7.3699 Å, c = 9.6460 Å
α = 98.47°, β = 90.00°, γ = 112.50°
Last column: nearest neighbours and their distance in Å.
Atoms (fractional coordinates):
Ac: 0.9290 0.8581 0.7905  1 Ru 2.73
Ac: 0.7795 0.5590 0.1466  3 Ru 2.85-3.13
Ac: 0.2205 0.4410 0.8534  3 Ru 2.85-3.13
Ac: 0.6468 0.2935 0.5444  1 Ru 2.72
Ac: 0.3532 0.7065 0.4556  1 Ru 2.72
Ac: 0.0710 0.1419 0.2095  1 Ru 2.73
Ag: 0.0000 0.0000 0.5000  6 Ac 3.11-3.44
Ru: 0.7329 0.4658 0.8184  4 Ac 2.72-2.85
Ru: 0.2671 0.5342 0.1816  4 Ac 2.72-2.85

***

No. 2
Here is an optimized crystal structure of LiI from Alexandria. Energies are from PBE.

As for the total energy: -5.802 eV/f.u. Its space group is No. 31. The calculation puts the total moment at 0.00 μB/f.u. As for the energy above the most stable polymorph in this dataset: 48 meV per atom.

a = 12.9130 Å, b = 4.3846 Å, c = 7.6155 Å
α = 90.00°, β = 90.00°, γ = 90.00°
Last column: nearest neighbours and their distance in Å.
Atoms (fractional coordinates):
Li: 0.7894 0.3490 0.6419  4 I 2.79-2.85
Li: 0.7106 0.6510 0.1419  4 I 2.79-2.85
Li: 0.2106 0.3490 0.6419  4 I 2.79-2.85
Li: 0.2894 0.6510 0.1419  4 I 2.79-2.85
Li: 0.0000 0.0311 0.4523  4 I 2.78-2.82
Li: 0.5000 0.9689 0.9523  4 I 2.78-2.82
I: 0.8110 0.1506 0.2904  4 Li 2.78-2.83
I: 0.6890 0.8494 0.7904  4 Li 2.78-2.83
I: 0.1890 0.1506 0.2904  4 Li 2.78-2.83
I: 0.3110 0.8494 0.7904  4 Li 2.78-2.83
I: 0.0000 0.5300 0.6852  4 Li 2.82-2.85
I: 0.5000 0.4700 0.1852  4 Li 2.82-2.85